# NaSnSe2N

An optimized crystal structure of NaSnSe2N (PBE, Alexandria via LeMat-Bulk).

* magnetization: 1.87 μB/f.u.
* E_tot: -3.81 eV/atom
* raw formation energy: 30.2 kJ per mole of atoms
* ρ: 4.21 g/cm3
* calculated volume: 24.7 A^3/atom
* relative energy among the computed polymorphs: 0.0 meV per atom

CIF file:
```
data_NaSnSe2N
_chemical_formula_sum 'Na1 Sn1 Se2 N1'
_cell_length_a 5.443
_cell_length_b 5.443
_cell_length_c 4.172
_cell_angle_alpha 90.00
_cell_angle_beta 90.00
_cell_angle_gamma 90.00
_symmetry_space_group_name_H-M 'P 1'
_symmetry_Int_Tables_number 1
_symmetry_space_group_name_Hall 'P 1'
loop_
_atom_site_label
_atom_site_type_symbol
_atom_site_fract_x
_atom_site_fract_y
_atom_site_fract_z
N1 N 0.000 0.000 0.500
Na1 Na 0.500 0.500 0.500
Se1 Se 0.000 0.500 0.000
Se2 Se 0.500 0.000 0.000
Sn1 Sn 0.000 0.000 0.000
```